1.
First-principles (GGA-PBE) data for crystalline SiNiHgPH at its relaxed geometry, as listed in Alexandria via LeMat-Bulk.

Summary:
ΔE to the lowest computed polymorph = 0.086 eV/f.u.
Space group = P1 (1)

Lattice parameters (Å, degrees): 3.742 4.791 4.811 92.56 94.20 90.88
Fractional positions:
Si (0.000, 0.000, 0.000)
Ni (0.497, 0.736, 0.982)
Hg (0.381, 0.930, 0.490)
P (0.979, 0.473, 0.909)
H (0.935, 0.418, 0.613)

=====

2.
First-principles (GGA-PBE) data for crystalline SiNiHgPH at its relaxed geometry, as listed in Alexandria via LeMat-Bulk.

Summary:
ΔE to the lowest computed polymorph = 0.239 eV/f.u.
Space group = P1 (1)

Lattice parameters (Å, degrees): 2.701 5.280 6.022 111.01 97.47 90.38
Fractional positions:
Si (0.000, 0.000, 0.000)
Ni (0.552, 0.387, 0.151)
Hg (0.684, 0.465, 0.651)
P (0.080, 0.740, 0.235)
H (0.154, 0.918, 0.483)

=====

3.
First-principles (GGA-PBE) data for crystalline SiNiHgPH at its relaxed geometry, as listed in Alexandria via LeMat-Bulk.

Summary:
ΔE to the lowest computed polymorph = 0.000 eV/f.u.
Space group = Pm (6)

Lattice parameters (Å, degrees): 5.295 2.767 6.070 90.00 100.77 90.00
Fractional positions:
Si (0.000, 0.000, 0.000)
Ni (0.667, 0.500, 0.834)
Hg (0.587, 0.000, 0.442)
P (0.437, 0.000, 0.002)
H (0.020, 0.000, 0.253)

=====

4.
First-principles (GGA-PBE) data for crystalline NiHg2HPb at its relaxed geometry, as listed in Alexandria via LeMat-Bulk.

Summary:
Space group = P4/mmm (123)
E = -12.2 eV per cell

Lattice parameters (Å, degrees): 5.435 5.435 3.342 90.00 90.00 90.00
Fractional positions:
Ni (0.000, 0.000, 0.000)
Hg (0.000, 0.500, 0.000)
Hg (0.500, 0.000, 0.000)
H (0.000, 0.000, 0.500)
Pb (0.500, 0.500, 0.500)